Mn2SbIr: optimized geometry, PBE-GGA.

Cell: 3.1082 4.4154 4.6095 Å, 90.00 90.00 90.00°
With the nearest neighbours (Å) after each atom.
Positions (direct):
Mn  0.0000  0.0000  0.0000  2 Mn 2.66, 4 Ir 2.67-2.89, 4 Sb 2.82
Mn  0.0000  0.5000  0.3202  2 Mn 2.66, 4 Sb 2.76-2.80, 4 Ir 2.79
Sb  0.5000  0.5000  0.8259  2 Ir 2.75, 8 Mn 2.76-2.82
Ir  0.5000  0.0000  0.4706  8 Mn 2.67-2.89, 2 Sb 2.75

Output
Crystal system ... orthorhombic
Formation energy from raw total energies ... 0.1010 eV/atom
E_tot ... -7.730 eV per atom
N(E_F) ... 0.85 states/eV per atom
Total moment ... 1.70 μB per atom